Entry from the Alexandria database: a relaxed Re4Pt crystal (GGA-PBE).

Output
- Final energy: -9.282 eV per atom
- Total moment: 0.00 Bohr magnetons per cell
- E_form: 1884 meV per atom
- Volume: 19.1 Å³ per atom
- Polymorph energy (0 for the lowest one): 1903 meV per atom

a b c (Å): 4.9867 4.9867 4.9867
angles (deg): 109.47 109.47 109.47
Positions (direct):
Re 0.5000 0.0000 0.0000
Re 0.5000 0.5000 0.5000
Re 0.0000 0.5000 0.0000
Re 0.0000 0.0000 0.5000
Pt 0.0000 0.0000 0.0000